Density functional theory data (GGA-PBEsol) for a relaxed structure of K2SiAg.

Summary:
E (eV per formula unit): -10.49
Raw formation energy (kcal/mol of atoms): 4.82
Density of states at the Fermi level (states/eV/atom): 0.41
Space-group type: I-42d (122)

abc: 4.6528 9.2473 9.2473
angles: 86.37 75.43 75.43
Closest atoms and distances in Å follow each position.
Sites, in units of the cell vectors:
Si (0.5000, 0.0000, 0.0000)  2 Ag 2.33
Si (0.2500, 0.5000, 0.5000)  2 Ag 2.33
K (0.8750, 0.2662, 0.2338)  2 Ag 3.22
K (0.8588, 0.7662, 0.2662)  2 Ag 3.22
K (0.3750, 0.7338, 0.7662)  2 Ag 3.22
K (0.8912, 0.2338, 0.7338)  2 Ag 3.22
Ag (0.7500, 0.5000, 0.5000)  2 Si 2.33
Ag (0.0000, 0.0000, 0.0000)  2 Si 2.33